The following is a PBE calculation of crystalline Ca2ScPaAs4 at its relaxed geometry, from Alexandria via LeMat-Bulk.

Output
- Symmetry: P2/m (10)
- ΔH_f (0 K): -1231 meV/atom
- M_tot: 0.00 Bohr magnetons per cell
- Total DFT energy (no corrections): -6.03 eV per atom

Lattice parameters (Å, degrees): 7.047 4.150 7.211 90.00 109.18 90.00
Positions (direct):
Ca (0.000, 0.000, 0.000)
Ca (0.500, 0.500, 0.000)
Sc (0.000, 0.500, 0.500)
Pa (0.500, 0.000, 0.500)
As (0.240, 0.000, 0.725)
As (0.254, 0.500, 0.271)
As (0.746, 0.500, 0.729)
As (0.760, 0.000, 0.275)


The following is a PBE calculation of crystalline VCoNi3 at its relaxed geometry, from Alexandria via LeMat-Bulk.

Output
- Symmetry: Ima2 (46)
- Fermi-level density of states: 1.37 states/eV/atom
- ΔH_f (0 K): 209 meV/atom
- M_tot: 1.30 Bohr magnetons per cell
- Total DFT energy (no corrections): -6.50 eV per atom

Lattice parameters (Å, degrees): 5.764 5.764 5.764 95.63 100.79 135.61
Positions (direct):
V (0.006, 0.250, 0.256)
V (0.994, 0.750, 0.744)
Co (0.304, 0.210, 0.593)
Co (0.617, 0.710, 0.407)
Ni (0.309, 0.723, 0.086)
Ni (0.609, 0.283, 0.330)
Ni (0.609, 0.779, 0.825)
Ni (0.637, 0.223, 0.914)
Ni (0.953, 0.279, 0.670)
Ni (0.953, 0.783, 0.175)


The following is a PBE calculation of crystalline V4GeRh7 at its relaxed geometry, from Alexandria via LeMat-Bulk.

Output
- Symmetry: C2/m (12)
- Fermi-level density of states: 1.05 states/eV/atom
- ΔH_f (0 K): -64 meV/atom
- M_tot: 0.00 Bohr magnetons per cell
- Total DFT energy (no corrections): -7.78 eV per atom

Lattice parameters (Å, degrees): 6.274 6.274 8.896 124.73 124.73 41.79
Positions (direct):
V (0.086, 0.086, 0.291)
V (0.216, 0.216, 0.847)
V (0.784, 0.784, 0.153)
V (0.914, 0.914, 0.709)
Ge (0.500, 0.500, 0.500)
Rh (0.000, 0.000, 0.500)
Rh (0.143, 0.143, 0.076)
Rh (0.285, 0.285, 0.640)
Rh (0.425, 0.425, 0.174)
Rh (0.575, 0.575, 0.826)
Rh (0.715, 0.715, 0.360)
Rh (0.857, 0.857, 0.924)


Which formula does entry 3 have?
V4GeRh7


Copy entry 1 word for word.
The following is a PBE calculation of crystalline Ca2ScPaAs4 at its relaxed geometry, from Alexandria via LeMat-Bulk.

Output
- Symmetry: P2/m (10)
- ΔH_f (0 K): -1231 meV/atom
- M_tot: 0.00 Bohr magnetons per cell
- Total DFT energy (no corrections): -6.03 eV per atom

Lattice parameters (Å, degrees): 7.047 4.150 7.211 90.00 109.18 90.00
Positions (direct):
Ca (0.000, 0.000, 0.000)
Ca (0.500, 0.500, 0.000)
Sc (0.000, 0.500, 0.500)
Pa (0.500, 0.000, 0.500)
As (0.240, 0.000, 0.725)
As (0.254, 0.500, 0.271)
As (0.746, 0.500, 0.729)
As (0.760, 0.000, 0.275)